1.
Computed, not measured: crystalline SrSbIr3 at its relaxed geometry at the PBE level of DFT.

E_form (uncorrected) in eV/atom: 0.740
V in A^3/atom: 24.1
Magnetic moment in μB per atom: 0.00

abc: 4.936 4.936 4.936
angles: 90.00 90.00 90.00
Positions (direct):
Sr (0.000, 0.000, 0.000)
Sb (0.500, 0.500, 0.500)
Ir (0.000, 0.500, 0.500)
Ir (0.500, 0.000, 0.500)
Ir (0.500, 0.500, 0.000)

=====

2.
Computed, not measured: crystalline Pm6AgHg3 at its relaxed geometry at the PBE level of DFT.

V in A^3/atom: 28.4
Magnetic moment in μB per atom: 0.00
Total DFT energy (no corrections) in eV/atom: -3.523

abc: 9.310 5.406 11.890
angles: 90.00 108.53 90.00
Positions (direct):
Pm (0.029, 0.250, 0.408)
Pm (0.160, 0.750, 0.178)
Pm (0.249, 0.250, 0.000)
Pm (0.352, 0.750, 0.816)
Pm (0.369, 0.250, 0.348)
Pm (0.403, 0.250, 0.630)
Pm (0.597, 0.750, 0.370)
Pm (0.631, 0.750, 0.652)
Pm (0.648, 0.250, 0.184)
Pm (0.751, 0.750, 0.000)
Pm (0.840, 0.250, 0.822)
Pm (0.971, 0.750, 0.592)
Ag (0.450, 0.750, 0.097)
Ag (0.550, 0.250, 0.903)
Hg (0.028, 0.750, 0.878)
Hg (0.116, 0.250, 0.715)
Hg (0.272, 0.750, 0.475)
Hg (0.728, 0.250, 0.525)
Hg (0.884, 0.750, 0.285)
Hg (0.972, 0.250, 0.122)

=====

3.
Computed, not measured: crystalline ZrBeZn3 at its relaxed geometry at the PBE level of DFT.

V in A^3/atom: 15.4
Magnetic moment in μB per atom: 0.00
Total DFT energy (no corrections) in eV/atom: -3.128

abc: 4.254 4.254 4.254
angles: 90.00 90.00 90.00
Positions (direct):
Zr (0.000, 0.000, 0.000)
Be (0.500, 0.500, 0.500)
Zn (0.000, 0.500, 0.500)
Zn (0.500, 0.000, 0.500)
Zn (0.500, 0.500, 0.000)